w:
Density functional theory data (PBE) for crystalline Tc2B2Ru at its relaxed geometry.

Lattice parameters (Å, degrees): 6.0534 6.0534 2.9603 90.00 90.00 90.00
Fractional coordinates of all 10 atoms:
1 Tc 0.1597 0.3403 0.0000
2 Tc 0.3403 0.8403 0.0000
3 Tc 0.6597 0.1597 0.0000
4 Tc 0.8403 0.6597 0.0000
5 B 0.1298 0.6298 0.5000
6 B 0.3702 0.1298 0.5000
7 B 0.6298 0.8702 0.5000
8 B 0.8702 0.3702 0.5000
9 Ru 0.0000 0.0000 0.5000
10 Ru 0.5000 0.5000 0.5000

Values from the calculation:
- SG: P4/mbm (127)

---

x:
Density functional theory data (PBE) for crystalline Tc2B2Ru at its relaxed geometry.

Lattice parameters (Å, degrees): 5.7399 5.7399 6.5873 90.00 90.00 90.00
Fractional coordinates of all 20 atoms:
1 Tc 0.1484 0.2967 0.0000
2 Tc 0.2033 0.3516 0.5000
3 Tc 0.2967 0.8516 0.0000
4 Tc 0.3516 0.7967 0.5000
5 Tc 0.6484 0.2033 0.5000
6 Tc 0.7033 0.1484 0.0000
7 Tc 0.7967 0.6484 0.5000
8 Tc 0.8516 0.7033 0.0000
9 B 0.1130 0.6130 0.2500
10 B 0.1130 0.6130 0.7500
11 B 0.3870 0.1130 0.2500
12 B 0.3870 0.1130 0.7500
13 B 0.6130 0.8870 0.2500
14 B 0.6130 0.8870 0.7500
15 B 0.8870 0.3870 0.2500
16 B 0.8870 0.3870 0.7500
17 Ru 0.0000 0.0000 0.2944
18 Ru 0.0000 0.0000 0.7056
19 Ru 0.5000 0.5000 0.2056
20 Ru 0.5000 0.5000 0.7944

Values from the calculation:
- SG: P4/mnc (128)

---

What is the stability order? It is x, w, from most stable to least stable.

---

w:
Density functional theory data (PBE) for crystalline TcBRu at its relaxed geometry.

Lattice parameters (Å, degrees): 5.0087 5.0087 4.1483 98.84 98.84 42.82
Fractional coordinates of all 6 atoms:
1 Tc 0.1321 0.1321 0.3128
2 Tc 0.8679 0.8679 0.6872
3 B 0.2279 0.2279 0.8245
4 B 0.7721 0.7721 0.1755
5 Ru 0.4142 0.4142 0.2090
6 Ru 0.5858 0.5858 0.7910

Values from the calculation:
- SG: C2/m (12)

---

x:
Density functional theory data (PBE) for crystalline TcBRu at its relaxed geometry.

Lattice parameters (Å, degrees): 9.4487 2.7950 5.6380 90.00 90.00 90.00
Fractional coordinates of all 12 atoms:
1 Tc 0.1369 0.2500 0.0175
2 Tc 0.3631 0.7500 0.5175
3 Tc 0.6369 0.2500 0.4825
4 Tc 0.8631 0.7500 0.9825
5 B 0.0541 0.7500 0.7486
6 B 0.4459 0.2500 0.2486
7 B 0.5541 0.7500 0.7514
8 B 0.9459 0.2500 0.2514
9 Ru 0.1305 0.2500 0.4887
10 Ru 0.3695 0.7500 0.9887
11 Ru 0.6305 0.2500 0.0113
12 Ru 0.8695 0.7500 0.5113

Values from the calculation:
- SG: Pnma (62)

---

y:
Density functional theory data (PBE) for crystalline TcBRu at its relaxed geometry.

Lattice parameters (Å, degrees): 5.3484 4.4859 4.4618 73.42 53.50 53.08
Fractional coordinates of all 6 atoms:
1 Tc 0.1712 0.8288 0.1712
2 Tc 0.8288 0.1712 0.8288
3 B 0.2500 0.2500 0.2500
4 B 0.7500 0.7500 0.7500
5 Ru 0.3266 0.3266 0.6734
6 Ru 0.6734 0.6734 0.3266

Values from the calculation:
- SG: Fmmm (69)

---

What is the stability order? It is y, w, x, from most stable to least stable.

---

w:
Density functional theory data (PBE) for crystalline Tc3BRu at its relaxed geometry.

Lattice parameters (Å, degrees): 4.0685 4.0685 4.0685 90.00 90.00 90.00
Fractional coordinates of all 5 atoms:
1 Tc 0.0000 0.0000 0.5000
2 Tc 0.0000 0.5000 0.0000
3 Tc 0.5000 0.0000 0.0000
4 B 0.0000 0.0000 0.0000
5 Ru 0.5000 0.5000 0.5000

Values from the calculation:
- SG: Pm-3m (221)

---

x:
Density functional theory data (PBE) for crystalline Tc3BRu at its relaxed geometry.

Lattice parameters (Å, degrees): 5.3578 5.3578 6.7161 124.07 124.07 64.80
Fractional coordinates of all 10 atoms:
1 Tc 0.1935 0.1935 0.1376
2 Tc 0.2266 0.7273 0.6850
3 Tc 0.2727 0.7734 0.3150
4 Tc 0.7273 0.2266 0.6850
5 Tc 0.7734 0.2727 0.3150
6 Tc 0.8065 0.8065 0.8624
7 B 0.2503 0.2503 0.5032
8 B 0.7497 0.7497 0.4968
9 Ru 0.3049 0.3049 0.8593
10 Ru 0.6951 0.6951 0.1407

Values from the calculation:
- SG: C2/m (12)

---

What is the stability order? It is x, w, from most stable to least stable.

---

w:
Density functional theory data (PBE) for crystalline B3TeRu at its relaxed geometry.

Lattice parameters (Å, degrees): 4.3482 4.3482 4.3482 90.00 90.00 90.00
Fractional coordinates of all 5 atoms:
1 B 0.0000 0.0000 0.5000
2 B 0.0000 0.5000 0.0000
3 B 0.5000 0.0000 0.0000
4 Te 0.0000 0.0000 0.0000
5 Ru 0.5000 0.5000 0.5000

Values from the calculation:
- SG: Pm-3m (221)

---

x:
Density functional theory data (PBE) for crystalline B3TeRu at its relaxed geometry.

Lattice parameters (Å, degrees): 4.1955 4.1955 4.1955 90.00 90.00 90.00
Fractional coordinates of all 5 atoms:
1 B 0.0000 0.0000 0.5000
2 B 0.0000 0.5000 0.0000
3 B 0.5000 0.0000 0.0000
4 Te 0.5000 0.5000 0.5000
5 Ru 0.0000 0.0000 0.0000

Values from the calculation:
- SG: Pm-3m (221)

---

What is the stability order? It is x, w, from most stable to least stable.

---

w:
Density functional theory data (PBE) for crystalline BTeRu3 at its relaxed geometry.

Lattice parameters (Å, degrees): 4.8562 4.8562 4.8562 90.00 90.00 90.00
Fractional coordinates of all 5 atoms:
1 B 0.0000 0.0000 0.0000
2 Te 0.5000 0.5000 0.5000
3 Ru 0.0000 0.5000 0.5000
4 Ru 0.5000 0.0000 0.5000
5 Ru 0.5000 0.5000 0.0000

Values from the calculation:
- SG: Pm-3m (221)

---

x:
Density functional theory data (PBE) for crystalline BTeRu3 at its relaxed geometry.

Lattice parameters (Å, degrees): 4.1670 4.1670 4.1670 90.00 90.00 90.00
Fractional coordinates of all 5 atoms:
1 B 0.0000 0.0000 0.0000
2 Te 0.5000 0.5000 0.5000
3 Ru 0.0000 0.0000 0.5000
4 Ru 0.0000 0.5000 0.0000
5 Ru 0.5000 0.0000 0.0000

Values from the calculation:
- SG: Pm-3m (221)

---

What is the stability order? It is x, w, from most stable to least stable.

---

w:
Density functional theory data (PBE) for crystalline TiTl2BRu at its relaxed geometry.

Lattice parameters (Å, degrees): 5.2687 5.2687 4.5222 90.00 90.00 90.00
Fractional coordinates of all 5 atoms:
1 Ti 0.0000 0.0000 0.0000
2 Tl 0.0000 0.5000 0.5000
3 Tl 0.5000 0.0000 0.5000
4 B 0.5000 0.5000 0.0000
5 Ru 0.0000 0.0000 0.5000

Values from the calculation:
- SG: P4/mmm (123)

---

x:
Density functional theory data (PBE) for crystalline TiTl2BRu at its relaxed geometry.

Lattice parameters (Å, degrees): 5.3415 5.3415 4.0319 90.00 90.00 90.00
Fractional coordinates of all 5 atoms:
1 Ti 0.0000 0.0000 0.0000
2 Tl 0.0000 0.5000 0.0000
3 Tl 0.5000 0.0000 0.0000
4 B 0.0000 0.0000 0.5000
5 Ru 0.5000 0.5000 0.5000

Values from the calculation:
- SG: P4/mmm (123)

---

What is the stability order? It is w, x, from most stable to least stable.

---

w:
Density functional theory data (PBE) for crystalline TlBRu3 at its relaxed geometry.

Lattice parameters (Å, degrees): 4.1707 4.1707 4.1707 90.00 90.00 90.00
Fractional coordinates of all 5 atoms:
1 Tl 0.0000 0.0000 0.0000
2 B 0.5000 0.5000 0.5000
3 Ru 0.0000 0.5000 0.5000
4 Ru 0.5000 0.0000 0.5000
5 Ru 0.5000 0.5000 0.0000

Values from the calculation:
- SG: Pm-3m (221)

---

x:
Density functional theory data (PBE) for crystalline TlBRu3 at its relaxed geometry.

Lattice parameters (Å, degrees): 5.0052 5.0052 5.0052 90.00 90.00 90.00
Fractional coordinates of all 5 atoms:
1 Tl 0.0000 0.0000 0.0000
2 B 0.5000 0.5000 0.5000
3 Ru 0.0000 0.0000 0.5000
4 Ru 0.0000 0.5000 0.0000
5 Ru 0.5000 0.0000 0.0000

Values from the calculation:
- SG: Pm-3m (221)

---

What is the stability order? It is w, x, from most stable to least stable.

---

w:
Density functional theory data (PBE) for crystalline TmBRu at its relaxed geometry.

Lattice parameters (Å, degrees): 7.1765 7.1765 3.1065 102.38 102.38 38.34
Fractional coordinates of all 6 atoms:
1 Tm 0.1670 0.1670 0.1667
2 Tm 0.8330 0.8330 0.8333
3 B 0.3146 0.6854 0.0000
4 B 0.6854 0.3146 0.0000
5 Ru 0.3970 0.3970 0.3966
6 Ru 0.6030 0.6030 0.6034

Values from the calculation:
- SG: C2/m (12)

---

x:
Density functional theory data (PBE) for crystalline TmBRu at its relaxed geometry.

Lattice parameters (Å, degrees): 4.0352 4.0368 5.8291 90.00 90.11 90.00
Fractional coordinates of all 6 atoms:
1 Tm 0.2486 0.2500 0.1659
2 Tm 0.7514 0.7500 0.8341
3 B 0.2503 0.2500 0.6582
4 B 0.7497 0.7500 0.3418
5 Ru 0.2499 0.7500 0.5000
6 Ru 0.7501 0.2500 0.5000

Values from the calculation:
- SG: P2_1/m (11)

---

What is the stability order? It is x, w, from most stable to least stable.